Material: Sm4Tm6Th
Method: DFT, PBE-GGA
State: optimized geometry

Properties
As for the energy above the lowest structure with this stoichiometry: 0.0000 eV/atom.

Unit cell a=5.665 b=5.610 c=25.598 alpha=90.00 beta=90.00 gamma=120.33
Atoms (fractional coordinates):
Tm 0.175 0.349 0.603
Sm 0.837 0.673 0.957
Sm 0.837 0.673 0.543
Tm 0.157 0.313 0.184
Tm 0.500 0.000 0.500
Sm 0.511 0.022 0.877
Th 0.176 0.352 0.750
Tm 0.490 0.979 0.250
Tm 0.175 0.349 0.897
Sm 0.489 0.978 0.123
Sm 0.163 0.327 0.457
Tm 0.500 0.000 0.000
Tm 0.510 0.021 0.750
Sm 0.511 0.022 0.623
Sm 0.489 0.978 0.377
Tm 0.843 0.687 0.684
Tm 0.825 0.651 0.103
Tm 0.825 0.651 0.397
Sm 0.163 0.327 0.043
Tm 0.157 0.313 0.316
Th 0.824 0.648 0.250
Tm 0.843 0.687 0.816

Material: Sm3Tm4Th
Method: DFT, PBE-GGA
State: optimized geometry

Properties
As for the energy above the lowest structure with this stoichiometry: 0.0000 eV/atom.

Unit cell a=3.563 b=6.163 c=11.669 alpha=100.23 beta=90.01 gamma=89.99
Atoms (fractional coordinates):
Sm 0.500 0.500 0.500
Tm 0.999 0.756 0.753
Tm 0.501 0.754 0.249
Tm 0.001 0.244 0.247
Sm 0.000 0.000 0.500
Sm 0.000 0.500 0.000
Th 0.500 0.000 0.000
Tm 0.499 0.246 0.751

Material: Sm2Tm8Th
Method: DFT, PBE-GGA
State: optimized geometry

Unit cell a=4.994 b=7.876 c=9.326 alpha=104.64 beta=105.53 gamma=90.00
Atoms (fractional coordinates):
Tm 0.320 0.093 0.640
Tm 0.044 0.731 0.088
Tm 0.680 0.907 0.360
Tm 0.865 0.822 0.730
Sm 0.228 0.636 0.456
Tm 0.589 0.452 0.179
Sm 0.772 0.364 0.544
Tm 0.411 0.548 0.821
Tm 0.956 0.269 0.912
Th 0.500 0.000 0.000
Tm 0.135 0.178 0.270

Material: Sm4Tm7Th
Method: DFT, PBE-GGA
State: optimized geometry

Properties
As for the energy above the lowest structure with this stoichiometry: 0.2833 eV/atom.

Unit cell a=5.898 b=11.503 c=6.732 alpha=83.73 beta=64.02 gamma=75.14
Atoms (fractional coordinates):
Tm 0.632 0.503 0.233
Tm 0.500 0.000 0.000
Tm 0.786 0.923 0.504
Tm 0.214 0.077 0.496
Sm 0.361 0.777 0.501
Th 0.000 0.000 0.000
Sm 0.232 0.329 0.207
Tm 0.065 0.682 0.189
Sm 0.639 0.223 0.499
Sm 0.768 0.671 0.793
Tm 0.368 0.497 0.767
Tm 0.935 0.318 0.811

Material: Sm3Tm2Th
Method: DFT, PBE-GGA
State: optimized geometry

Properties
As for the energy above the lowest structure with this stoichiometry: 0.0000 eV/atom.

Unit cell a=6.865 b=7.787 c=7.787 alpha=74.76 beta=90.00 gamma=90.00
Atoms (fractional coordinates):
Tm 0.075 0.207 0.548
Tm 0.075 0.548 0.207
Sm 0.578 0.184 0.527
Tm 0.575 0.793 0.452
Sm 0.078 0.473 0.816
Tm 0.575 0.452 0.793
Th 0.827 0.851 0.851
Th 0.327 0.149 0.149
Sm 0.326 0.857 0.857
Sm 0.078 0.816 0.473
Sm 0.826 0.143 0.143
Sm 0.578 0.527 0.184

Material: SmTmTh
Method: DFT, PBE-GGA
State: optimized geometry

Properties
As for the energy above the lowest structure with this stoichiometry: 0.0028 eV/atom.

Unit cell a=3.574 b=3.574 c=8.703 alpha=90.00 beta=90.00 gamma=120.00
Atoms (fractional coordinates):
Sm 0.000 0.000 0.996
Tm 0.667 0.333 0.341
Th 0.333 0.667 0.663

Material: Sm2Tm7Th2
Method: DFT, PBE-GGA
State: optimized geometry

Properties
As for the energy above the lowest structure with this stoichiometry: 0.0023 eV/atom.

Unit cell a=6.081 b=7.940 c=7.940 alpha=91.92 beta=73.72 gamma=73.72
Atoms (fractional coordinates):
Tm 0.171 0.068 0.589
Tm 0.171 0.589 0.068
Tm 0.576 0.758 0.758
Tm 0.424 0.242 0.242
Th 0.813 0.407 0.407
Tm 0.000 0.000 0.000
Tm 0.829 0.932 0.411
Tm 0.829 0.411 0.932
Sm 0.500 0.788 0.212
Sm 0.500 0.212 0.788
Th 0.187 0.593 0.593

Material: SmTm4Th3
Method: DFT, PBE-GGA
State: optimized geometry

Unit cell a=6.210 b=7.098 c=11.527 alpha=90.00 beta=90.00 gamma=90.00
Atoms (fractional coordinates):
Th 0.477 0.382 0.250
Th 0.977 0.618 0.250
Sm 0.154 0.375 0.000
Th 0.152 0.376 0.500
Tm 0.144 0.876 0.500
Sm 0.654 0.625 0.500
Th 0.477 0.382 0.750
Th 0.977 0.618 0.750
Tm 0.984 0.126 0.749
Tm 0.984 0.126 0.251
Tm 0.644 0.124 0.000
Tm 0.145 0.870 0.000
Tm 0.484 0.874 0.751
Tm 0.645 0.130 0.500
Th 0.652 0.624 0.000
Tm 0.484 0.874 0.249

Values of volume, in order: 702.2, 252.1, 341.1, 396.9, 401.7, 96.3, 350.6, 508.1, all in Å³/cell.
Values of DOS(E_F), in order: 17.10, 10.29, 16.79, 18.51, 7.52, 4.83, 17.18, 12.06, all in states/eV/f.u..
Values of formation energy from the elements, in order: 0.13, 0.02, 0.03, 0.31, 0.23, 0.03, 0.18, 0.05, all in eV per atom.